A plane-wave DFT calculation with PBEsol was carried out for crystalline Mg2AlAuC at its relaxed geometry.

Computed properties:
ΔH_f (0 K), eV per formula unit: 1.75

Lattice parameters (Å, degrees): 4.3294 4.3294 4.3572 90.00 90.00 90.00
Positions (direct):
Au (0.0000, 0.0000, 0.5000)
Mg (0.0000, 0.5000, 0.0000)
Al (0.5000, 0.5000, 0.5000)
C (0.0000, 0.0000, 0.0000)
Mg (0.5000, 0.0000, 0.0000)